1.
Compound: RbN2F6
Source: the Alexandria database
Functional: PBE
Structure: relaxed Values from VASP.

The structure in Quantum ESPRESSO input format:
```
&SYSTEM
  ibrav = 0, nat = 18, ntyp = 3
/
ATOMIC_SPECIES
Rb 85.47 Rb.upf
N 14.01 N.upf
F 19.00 F.upf
CELL_PARAMETERS angstrom
5.8727 -4.8438 0.0000
5.8727 4.8438 0.0000
-4.6879 0.0000 6.9521
ATOMIC_POSITIONS angstrom
Rb 2.3568 3.8192 5.2141
Rb 4.7007 -3.8192 1.7380
N 0.2660 0.4501 5.4084
N 2.6099 -0.4501 1.9324
N 4.4476 0.4501 5.0197
N 6.7916 -0.4501 1.5437
F -1.2532 0.2111 4.3593
F 1.0908 -0.2111 0.8833
F -0.0786 1.6253 6.0510
F 1.1268 0.9050 4.3977
F 3.4708 -0.9050 0.9217
F 4.7922 1.6253 4.3771
F 2.2654 -1.6253 2.5750
F 3.5868 0.9050 6.0304
F 5.9307 -0.9050 2.5544
F 7.1361 -1.6253 0.9011
F 5.9668 0.2111 6.0688
F 8.3107 -0.2111 2.5928
```

Values from the calculation:
* total DFT energy (no corrections): -35.11 eV/f.u.



2.
Compound: NaPmCdPt
Source: the Alexandria database
Functional: PBE
Structure: relaxed Values from VASP.

The structure in Quantum ESPRESSO input format:
```
&SYSTEM
  ibrav = 0, nat = 4, ntyp = 4
/
ATOMIC_SPECIES
Na 22.99 Na.upf
Pm 145.00 Pm.upf
Cd 112.41 Cd.upf
Pt 195.08 Pt.upf
CELL_PARAMETERS angstrom
0.0000 3.5902 3.5902
3.5902 0.0000 3.5902
3.5902 3.5902 0.0000
ATOMIC_POSITIONS angstrom
Na 0.0000 0.0000 0.0000
Pm 3.5902 3.5902 3.5902
Cd 5.3853 5.3853 5.3853
Pt 1.7951 1.7951 1.7951
```

Values from the calculation:
* total DFT energy (no corrections): -14.61 eV/f.u.



3.
Compound: KSnB
Source: the Alexandria database
Functional: PBE
Structure: relaxed Values from VASP.

The structure in Quantum ESPRESSO input format:
```
&SYSTEM
  ibrav = 0, nat = 6, ntyp = 3
/
ATOMIC_SPECIES
K 39.10 K.upf
Sn 118.71 Sn.upf
B 10.81 B.upf
CELL_PARAMETERS angstrom
5.7117 0.0000 0.0000
0.0000 5.1421 0.0000
-2.5372 0.0000 5.8101
ATOMIC_POSITIONS angstrom
K 0.0000 0.0000 0.0000
K 2.8394 2.5710 0.0119
Sn 0.1259 2.5710 2.3150
Sn 2.9927 2.5710 3.5145
B 1.5585 0.7992 2.9180
B 1.5585 4.3428 2.9180
```

Values from the calculation:
* total DFT energy (no corrections): -10.92 eV/f.u.



4.
Compound: BAsSCl2
Source: the Alexandria database
Functional: PBE
Structure: relaxed Values from VASP.

The structure in Quantum ESPRESSO input format:
```
&SYSTEM
  ibrav = 0, nat = 5, ntyp = 4
/
ATOMIC_SPECIES
B 10.81 B.upf
As 74.92 As.upf
S 32.06 S.upf
Cl 35.45 Cl.upf
CELL_PARAMETERS angstrom
4.9677 0.0000 0.0000
0.0000 4.9677 0.0000
0.0000 0.0000 4.8646
ATOMIC_POSITIONS angstrom
B 0.0000 0.0000 0.0000
As 2.4839 2.4839 2.4323
S 2.4839 2.4839 0.0000
Cl 0.0000 2.4839 2.4323
Cl 2.4839 0.0000 2.4323
```

Values from the calculation:
* relative energy among the computed polymorphs: 0.250 eV per atom
* total DFT energy (no corrections): -14.85 eV/f.u.



5.
Compound: SrCa2Cu
Source: the Alexandria database
Functional: PBE
Structure: relaxed Values from VASP.

The structure in Quantum ESPRESSO input format:
```
&SYSTEM
  ibrav = 0, nat = 4, ntyp = 3
/
ATOMIC_SPECIES
Sr 87.62 Sr.upf
Ca 40.08 Ca.upf
Cu 63.55 Cu.upf
CELL_PARAMETERS angstrom
3.5015 -6.0554 0.0000
3.5015 6.0554 0.0000
-1.7323 0.0000 3.3352
ATOMIC_POSITIONS angstrom
Sr 0.0000 0.0000 0.0000
Ca 0.8846 3.0277 1.6676
Ca 0.8846 -3.0277 1.6676
Cu 3.5015 0.0000 0.0000
```

Values from the calculation:
* relative energy among the computed polymorphs: 0.325 eV per atom
* total DFT energy (no corrections): -8.66 eV/f.u.



6.
Compound: Ba7Pd4Au
Source: the Alexandria database
Functional: PBE
Structure: relaxed Values from VASP.

The structure in Quantum ESPRESSO input format:
```
&SYSTEM
  ibrav = 0, nat = 12, ntyp = 3
/
ATOMIC_SPECIES
Ba 137.33 Ba.upf
Pd 106.42 Pd.upf
Au 196.97 Au.upf
CELL_PARAMETERS angstrom
7.6434 -2.2670 0.0000
7.6434 2.2670 0.0000
-3.5823 0.0000 13.4097
ATOMIC_POSITIONS angstrom
Ba 0.0000 0.0000 0.0000
Ba 0.3504 0.0000 11.5554
Ba 3.0457 0.0000 5.8471
Ba 6.8173 0.0000 3.9150
Ba 7.1775 0.0000 7.9963
Ba 11.1789 0.0000 1.9032
Ba 11.5612 0.0000 9.3479
Pd 1.7194 0.0000 8.7005
Pd 5.5506 0.0000 0.9633
Pd 5.6854 0.0000 11.1928
Pd 13.0041 0.0000 6.1731
Au 1.3835 0.0000 2.9834
```

Values from the calculation:
* total DFT energy (no corrections): -43.27 eV/f.u.



7.
Compound: Ce8Sn4Bi3
Source: the Alexandria database
Functional: PBE
Structure: relaxed Values from VASP.

The structure in Quantum ESPRESSO input format:
```
&SYSTEM
  ibrav = 0, nat = 15, ntyp = 3
/
ATOMIC_SPECIES
Ce 140.12 Ce.upf
Sn 118.71 Sn.upf
Bi 208.98 Bi.upf
CELL_PARAMETERS angstrom
6.4057 -6.4130 0.0000
6.4057 6.4130 0.0000
-6.3846 0.0000 6.4166
ATOMIC_POSITIONS angstrom
Ce 6.4057 3.2503 0.0000
Ce 0.0454 0.0000 3.1508
Ce 3.1698 0.0000 0.0314
Ce 3.2134 3.1812 3.2083
Ce 3.2134 -3.1812 3.2083
Ce 3.2571 0.0000 6.3851
Ce 6.3815 0.0000 3.2658
Ce 6.4057 -3.2503 0.0000
Sn 0.0000 0.0000 0.0000
Sn 3.2029 3.2065 0.0000
Sn 3.2029 -3.2065 0.0000
Sn 3.2134 0.0000 3.2083
Bi -3.1923 0.0000 3.2083
Bi 0.0105 3.2065 3.2083
Bi 0.0105 -3.2065 3.2083
```

Values from the calculation:
* total DFT energy (no corrections): -82.34 eV/f.u.



8.
Compound: LaCd2Br
Source: the Alexandria database
Functional: PBE
Structure: relaxed Values from VASP.

The structure in Quantum ESPRESSO input format:
```
&SYSTEM
  ibrav = 0, nat = 4, ntyp = 3
/
ATOMIC_SPECIES
La 138.91 La.upf
Cd 112.41 Cd.upf
Br 79.90 Br.upf
CELL_PARAMETERS angstrom
3.7438 0.0000 0.0000
0.0000 5.4600 0.0000
-0.0012 0.0000 5.8964
ATOMIC_POSITIONS angstrom
La 0.0000 0.0000 0.0000
Cd 1.8662 2.7300 4.2667
Cd 1.8720 0.0000 3.0261
Br 3.7385 2.7300 1.1513
```

Values from the calculation:
* relative energy among the computed polymorphs: 0.087 eV per atom
* total DFT energy (no corrections): -10.53 eV/f.u.



> The highest total DFT energy (no corrections) belongs to which entry?

SrCa2Cu



> Among the records above, which one has the lowest total DFT energy (no corrections)?

Ce8Sn4Bi3